Entry 1:
TaHg4Cl | PBEsol | relaxed

Computed properties:
- spin magnetization (μB per formula unit) = 2.13
- final energy (eV/atom) = -2.15
- N(E_F) (states/eV/f.u.) = 2.27
- ΔE_f (raw) (kcal/mol of atoms) = 15.05
- calculated density (g cm⁻³) = 12.8
- volume (Å³/cell) = 527.9

Cell: 8.0821 8.0821 8.0821 Å, 90.00 90.00 90.00°
Space group F-43m (No. 216)
Symmetry-distinct sites (fractional):
Ta: 0.0000 0.0000 0.0000
Hg: 0.1253 0.1253 0.3747
Cl: 0.2500 0.2500 0.7500

Entry 2:
NbTeBr2 | PBEsol | relaxed

Computed properties:
- spin magnetization (μB per formula unit) = 1.00
- final energy (eV/atom) = -4.78
- N(E_F) (states/eV/f.u.) = 1.42
- ΔE_f (raw) (kcal/mol of atoms) = -6.00
- calculated density (g cm⁻³) = 5.6
- volume (Å³/cell) = 449.4

Cell: 9.1416 9.1416 5.3781 Å, 90.00 90.00 90.00°
Space group I-42d (No. 122)
Symmetry-distinct sites (fractional):
Nb: 0.0000 0.0000 0.0000
Te: 0.0000 0.0000 0.5000
Br: 0.1289 0.7500 0.1250

Entry 3:
Nb3Cr | PBEsol | relaxed

Computed properties:
- spin magnetization (μB per formula unit) = 2.67
- final energy (eV/atom) = -10.24
- N(E_F) (states/eV/f.u.) = 5.45
- energy of formation (meV/atom) = 436.1
- calculated density (g cm⁻³) = 8.1
- volume (Å³/cell) = 68.0

Cell: 4.0819 4.0819 4.0819 Å, 90.00 90.00 90.00°
Space group Pm-3m (No. 221)
Symmetry-distinct sites (fractional):
Nb: 0.0000 0.0000 0.5000
Cr: 0.5000 0.5000 0.5000

Entry 4:
Zr3Al | PBEsol | relaxed

Computed properties:
- spin magnetization (μB per formula unit) = 0.00
- final energy (eV/atom) = -8.07
- N(E_F) (states/eV/f.u.) = 4.54
- energy of formation (meV/atom) = -229.3
- calculated density (g cm⁻³) = 6.1
- volume (Å³/cell) = 81.4

Cell: 3.1631 3.9563 6.5042 Å, 90.00 90.00 90.00°
Space group Pmmm (No. 47)
Symmetry-distinct sites (fractional):
Zr: 0.0000 0.0000 0.0000
Zr: 0.5000 0.5000 0.2652
Al: 0.0000 0.0000 0.5000

Entry 5:
Ni3Ir | PBEsol | relaxed

Computed properties:
- spin magnetization (μB per formula unit) = 1.78
- final energy (eV/atom) = -7.04
- N(E_F) (states/eV/f.u.) = 7.52
- energy of formation (meV/atom) = 31.4
- calculated density (g cm⁻³) = 13.3
- volume (Å³/cell) = 91.8

Cell: 5.0498 7.0932 2.5621 Å, 90.00 90.00 90.00°
Space group Cmmm (No. 65)
Symmetry-distinct sites (fractional):
Ni: 0.0000 0.0000 0.0000
Ni: 0.2500 0.2500 0.5000
Ir: 0.0000 0.5000 0.0000

Entry 6:
Cd24In5 | PBEsol | relaxed

Computed properties:
- spin magnetization (μB per formula unit) = 0.00
- final energy (eV/atom) = -1.48
- N(E_F) (states/eV/f.u.) = 10.92
- energy of formation (meV/atom) = 27.8
- calculated density (g cm⁻³) = 8.5
- volume (Å³/cell) = 1274.4

Cell: 10.8417 10.8417 10.8417 Å, 90.00 90.00 90.00°
Space group I-43m (No. 217)
Symmetry-distinct sites (fractional):
Cd: 0.0516 0.3656 0.3656
Cd: 0.0974 0.0974 0.2883
In: 0.0000 0.0000 0.0000
In: 0.1748 0.1748 0.8252

Entry 7:
InGa2MoCl | PBEsol | relaxed

Computed properties:
- spin magnetization (μB per formula unit) = 3.46
- final energy (eV/atom) = -3.58
- N(E_F) (states/eV/f.u.) = 2.75
- ΔE_f (raw) (kcal/mol of atoms) = 25.58
- calculated density (g cm⁻³) = 5.3
- volume (Å³/cell) = 120.1

Cell: 4.8197 4.8197 5.1693 Å, 90.00 90.00 90.00°
Space group P4/mmm (No. 123)
Symmetry-distinct sites (fractional):
In: 0.0000 0.0000 0.0000
Ga: 0.0000 0.5000 0.5000
Mo: 0.5000 0.5000 0.0000
Cl: 0.0000 0.0000 0.5000

Entry 8:
LaYSc2 | PBEsol | relaxed

Computed properties:
- spin magnetization (μB per formula unit) = 0.00
- final energy (eV/atom) = -6.28
- N(E_F) (states/eV/f.u.) = 5.45
- energy of formation (meV/atom) = 65.3
- calculated density (g cm⁻³) = 4.8
- volume (Å³/cell) = 328.7

Cell: 3.4145 3.4145 32.5567 Å, 90.00 90.00 120.00°
Space group R-3m (No. 166, hexagonal axes)
Symmetry-distinct sites (fractional):
La: 0.0000 0.0000 0.0000
Y: 0.0000 0.0000 0.5000
Sc: 0.0000 0.0000 0.2491

Entry 9:
CrFe2HgO | PBEsol | relaxed

Computed properties:
- spin magnetization (μB per formula unit) = 10.81
- final energy (eV/atom) = -5.03
- N(E_F) (states/eV/f.u.) = 8.37
- ΔE_f (raw) (kcal/mol of atoms) = 40.80
- calculated density (g cm⁻³) = 6.4
- volume (Å³/cell) = 98.0

Cell: 4.8822 4.8822 4.1128 Å, 90.00 90.00 90.00°
Space group P4/mmm (No. 123)
Symmetry-distinct sites (fractional):
Cr: 0.0000 0.0000 0.0000
Fe: 0.0000 0.5000 0.5000
Hg: 0.5000 0.5000 0.5000
O: 0.5000 0.5000 0.0000

Entry 10:
RbLi2ReI | PBEsol | relaxed

Computed properties:
- spin magnetization (μB per formula unit) = 4.71
- final energy (eV/atom) = -2.29
- N(E_F) (states/eV/f.u.) = 3.59
- ΔE_f (raw) (kcal/mol of atoms) = 39.71
- calculated density (g cm⁻³) = 3.2
- volume (Å³/cell) = 215.1

Cell: 5.8855 5.8855 6.2092 Å, 90.00 90.00 90.00°
Space group P4/mmm (No. 123)
Symmetry-distinct sites (fractional):
Rb: 0.0000 0.0000 0.0000
Li: 0.0000 0.5000 0.0000
Re: 0.5000 0.5000 0.5000
I: 0.0000 0.0000 0.5000

Entry 11:
BaMnRh | PBEsol | relaxed

Computed properties:
- spin magnetization (μB per formula unit) = 3.81
- final energy (eV/atom) = -6.34
- N(E_F) (states/eV/f.u.) = 3.07
- energy of formation (meV/atom) = 343.9
- calculated density (g cm⁻³) = 7.3
- volume (Å³/cell) = 134.2

Cell: 3.4410 3.4410 11.3377 Å, 90.00 90.00 90.00°
Space group I4mm (No. 107)
Symmetry-distinct sites (fractional):
Ba: 0.0000 0.0000 0.0000
Mn: 0.0000 0.0000 0.2752
Rh: 0.0000 0.0000 0.7166

Entry 12:
ScRePdS2 | PBEsol | relaxed

Computed properties:
- spin magnetization (μB per formula unit) = 3.67
- final energy (eV/atom) = -5.77
- N(E_F) (states/eV/f.u.) = 5.43
- ΔE_f (raw) (kcal/mol of atoms) = 26.78
- calculated density (g cm⁻³) = 6.1
- volume (Å³/cell) = 108.5

Cell: 4.6537 4.6537 5.0088 Å, 90.00 90.00 90.00°
Space group P4/mmm (No. 123)
Symmetry-distinct sites (fractional):
Sc: 0.0000 0.0000 0.0000
Re: 0.0000 0.0000 0.5000
Pd: 0.5000 0.5000 0.5000
S: 0.0000 0.5000 0.0000

Entry 13:
ZrTl2Ag | PBEsol | relaxed

Computed properties:
- spin magnetization (μB per formula unit) = 0.00
- final energy (eV/atom) = -4.49
- N(E_F) (states/eV/f.u.) = 1.53
- energy of formation (meV/atom) = -73.1
- calculated density (g cm⁻³) = 12.0
- volume (Å³/cell) = 83.9

Cell: 4.4567 4.4567 4.2244 Å, 90.00 90.00 90.00°
Space group P4/mmm (No. 123)
Symmetry-distinct sites (fractional):
Zr: 0.0000 0.0000 0.0000
Tl: 0.0000 0.5000 0.5000
Ag: 0.5000 0.5000 0.0000

Entry 14:
Ce3Al12Os4 | PBEsol | relaxed

Computed properties:
- spin magnetization (μB per formula unit) = 0.00
- final energy (eV/atom) = -6.76
- N(E_F) (states/eV/f.u.) = 13.88
- energy of formation (meV/atom) = -558.5
- calculated density (g cm⁻³) = 7.8
- volume (Å³/cell) = 639.7

Cell: 8.8254 8.8254 9.4835 Å, 90.00 90.00 120.00°
Space group P6_3/mmc (No. 194)
Symmetry-distinct sites (fractional):
Ce: 0.1937 0.3875 0.2500
Al: 0.0000 0.0000 0.2500
Al: 0.1238 0.5619 0.7500
Al: 0.1627 0.3253 0.5762
Al: 0.3333 0.6667 0.0172
Os: 0.0000 0.0000 0.0000
Os: 0.0000 0.5000 0.0000

Entry 15:
Ca2Rh | PBEsol | relaxed

Computed properties:
- spin magnetization (μB per formula unit) = 0.00
- final energy (eV/atom) = -4.34
- N(E_F) (states/eV/f.u.) = 1.46
- energy of formation (meV/atom) = -208.7
- calculated density (g cm⁻³) = 3.9
- volume (Å³/cell) = 308.8

Cell: 3.3994 13.2238 6.8696 Å, 90.00 90.00 90.00°
Space group Cmc2_1 (No. 36)
Symmetry-distinct sites (fractional):
Ca: 0.0000 0.0190 0.0000
Ca: 0.0000 0.2746 0.8501
Rh: 0.0000 0.3806 0.2090

Entry 16:
Li5Mn2CoO8 | PBEsol | relaxed

Computed properties:
- spin magnetization (μB per formula unit) = 6.04
- final energy (eV/atom) = -6.78
- N(E_F) (states/eV/f.u.) = 3.20
- ΔE_f (raw) (kcal/mol of atoms) = -42.42
- calculated density (g cm⁻³) = 4.3
- volume (Å³/cell) = 255.4

Cell: 9.6627 5.6436 4.9388 Å, 90.00 108.52 90.00°
Space group C2/m (No. 12)
Symmetry-distinct sites (fractional):
Li: 0.0000 0.0000 0.0000
Li: 0.0000 0.2354 0.5000
Li: 0.2477 0.0000 0.5048
Mn: 0.2500 0.2500 0.0000
Co: 0.0000 0.5000 0.0000
O: 0.1258 0.2621 0.2267
O: 0.1307 0.5000 0.7809
O: 0.1366 0.0000 0.7746

Entry 17:
Y2ZrAg | PBEsol | relaxed

Computed properties:
- spin magnetization (μB per formula unit) = 0.00
- final energy (eV/atom) = -6.63
- N(E_F) (states/eV/f.u.) = 3.57
- energy of formation (meV/atom) = -116.5
- calculated density (g cm⁻³) = 6.4
- volume (Å³/cell) = 97.2

Cell: 3.3904 3.3904 8.4575 Å, 90.00 90.00 90.00°
Space group P4/mmm (No. 123)
Symmetry-distinct sites (fractional):
Y: 0.0000 0.0000 0.2326
Zr: 0.5000 0.5000 0.5000
Ag: 0.5000 0.5000 0.0000

Entry 18:
Li8Pr7Ge10 | PBEsol | relaxed

Computed properties:
- spin magnetization (μB per formula unit) = 0.00
- final energy (eV/atom) = -4.77
- N(E_F) (states/eV/f.u.) = 4.44
- energy of formation (meV/atom) = -718.1
- calculated density (g cm⁻³) = 5.8
- volume (Å³/cell) = 1006.7

Cell: 6.8423 33.3184 4.4157 Å, 90.00 90.00 90.00°
Space group Cmmm (No. 65)
Symmetry-distinct sites (fractional):
Li: 0.1877 0.1434 0.0000
Li: 0.1901 0.4249 0.5000
Pr: 0.0000 0.0575 0.0000
Pr: 0.0000 0.2212 0.5000
Pr: 0.0000 0.3390 0.5000
Pr: 0.0000 0.5000 0.0000
Ge: 0.0000 0.1268 0.5000
Ge: 0.0000 0.4062 0.0000
Ge: 0.1828 0.2847 0.0000
Ge: 0.1847 0.0000 0.5000

Entry 19:
Al2GaW | PBEsol | relaxed

Computed properties:
- spin magnetization (μB per formula unit) = 0.00
- final energy (eV/atom) = -5.77
- N(E_F) (states/eV/f.u.) = 1.90
- energy of formation (meV/atom) = 561.3
- calculated density (g cm⁻³) = 7.7
- volume (Å³/cell) = 266.7

Cell: 7.1631 7.1631 5.1974 Å, 90.00 90.00 90.00°
Space group I-42d (No. 122)
Symmetry-distinct sites (fractional):
Al: 0.2435 0.7500 0.1250
Ga: 0.0000 0.0000 0.0000
W: 0.0000 0.0000 0.5000

Entry 20:
GaTcSe3 | PBEsol | relaxed

Computed properties:
- spin magnetization (μB per formula unit) = 3.98
- final energy (eV/atom) = -4.29
- N(E_F) (states/eV/f.u.) = 3.49
- ΔE_f (raw) (kcal/mol of atoms) = 21.79
- calculated density (g cm⁻³) = 5.9
- volume (Å³/cell) = 114.1

Cell: 4.8504 4.8504 4.8504 Å, 90.00 90.00 90.00°
Space group Pm-3m (No. 221)
Symmetry-distinct sites (fractional):
Ga: 0.0000 0.0000 0.0000
Tc: 0.5000 0.5000 0.5000
Se: 0.0000 0.0000 0.5000

Entry 21:
La2CdW | PBEsol | relaxed

Computed properties:
- spin magnetization (μB per formula unit) = 0.00
- final energy (eV/atom) = -6.01
- N(E_F) (states/eV/f.u.) = 3.36
- energy of formation (meV/atom) = 415.9
- calculated density (g cm⁻³) = 9.4
- volume (Å³/cell) = 202.0

Cell: 3.1860 5.4753 11.5826 Å, 90.00 90.00 90.00°
Space group Imm2 (No. 44)
Symmetry-distinct sites (fractional):
La: 0.0000 0.0000 0.0000
La: 0.0000 0.5000 0.2018
Cd: 0.0000 0.0000 0.4261
W: 0.0000 0.5000 0.7253

Entry 22:
ZrSe2BrN | PBEsol | relaxed

Computed properties:
- spin magnetization (μB per formula unit) = 2.90
- final energy (eV/atom) = -5.01
- N(E_F) (states/eV/f.u.) = 4.20
- ΔE_f (raw) (kcal/mol of atoms) = 9.94
- calculated density (g cm⁻³) = 4.1
- volume (Å³/cell) = 140.5

Cell: 5.1314 5.1314 5.3358 Å, 90.00 90.00 90.00°
Space group P4/mmm (No. 123)
Symmetry-distinct sites (fractional):
Zr: 0.0000 0.0000 0.0000
Se: 0.0000 0.5000 0.0000
Br: 0.0000 0.0000 0.5000
N: 0.5000 0.5000 0.5000

Entry 23:
Sb2AsPd2 | PBEsol | relaxed

Computed properties:
- spin magnetization (μB per formula unit) = 0.00
- final energy (eV/atom) = -5.37
- N(E_F) (states/eV/f.u.) = 2.18
- ΔE_f (raw) (kcal/mol of atoms) = -3.29
- calculated density (g cm⁻³) = 9.1
- volume (Å³/cell) = 194.4

Cell: 7.2976 7.2976 3.6497 Å, 90.00 90.00 90.00°
Space group P4/mbm (No. 127)
Symmetry-distinct sites (fractional):
Sb: 0.1641 0.3359 0.0000
As: 0.0000 0.0000 0.5000
Pd: 0.1335 0.6335 0.5000